The following is a GGA+U calculation of a geometry-optimized ReNiPb2O6 structure, from the Alexandria database.

a b c (Å): 5.6445 5.6464 5.6638
angles (deg): 119.17 90.79 119.68
Element x y z (fractional)
Re 0.0000 0.0000 0.0000
Ni 0.5000 0.0000 0.5000
Pb 0.2504 0.5097 0.7612
Pb 0.7496 0.4903 0.2388
O 0.2069 0.4801 0.2051
O 0.2375 0.0577 0.2982
O 0.2779 0.0064 0.7977
O 0.7221 0.9936 0.2023
O 0.7625 0.9423 0.7018
O 0.7931 0.5199 0.7949

Calculated values
DFT total energy in eV/atom: -6.483